The following is a GGA-PBE calculation of Tb3GaIr8 after structural relaxation, from Alexandria via LeMat-Bulk.

abc: 5.3442 5.3442 26.0996
angles: 90.00 90.00 120.00
Space group R3m (No. 160, hexagonal axes)
One atom of each set of equivalent atoms:
Tb1 0.0000 0.0000 0.0000 x3
Tb2 0.0000 0.0000 0.1289 x3
Tb3 0.0000 0.0000 0.5124 x3
Ga1 0.0000 0.0000 0.6393 x3
Ir1 0.0000 0.0000 0.3155 x3
Ir2 0.0000 0.0000 0.8160 x3
Ir3 0.0002 0.5001 0.0662 x9
Ir4 0.0001 0.5001 0.5666 x9

## Properties
Its density of states at the Fermi level is 48.43 states/eV/cell. Its formation enthalpy at 0 K is -0.576 eV per atom. The energy comes out at -284.16 eV per cell.